{
  "formula": "MnRuRhO6",
  "functional": "GGA+U",
  "state": "optimized geometry",
  "cell": [[5.074, 0.000, 0.000], [-2.537, 4.394, 0.000], [0.000, 0.000, 8.990]],
  "species": ["O", "O", "O", "O", "O", "O", "O", "O", "O", "O", "O", "O", "Mn", "Mn", "Ru", "Ru", "Rh", "Rh"],
  "fractional_positions": [[0.994, 0.347, 0.128], [0.353, 0.347, 0.372], [0.006, 0.353, 0.628], [0.006, 0.653, 0.872], [0.347, 0.994, 0.628], [0.653, 0.006, 0.372], [0.347, 0.353, 0.872], [0.994, 0.647, 0.372], [0.647, 0.994, 0.872], [0.647, 0.653, 0.628], [0.353, 0.006, 0.128], [0.653, 0.647, 0.128], [0.000, 0.000, 0.000], [0.000, 0.000, 0.500], [0.333, 0.667, 0.750], [0.667, 0.333, 0.250], [0.667, 0.333, 0.750], [0.333, 0.667, 0.250]],
  "dos_ef_per_ev_fu": 7.01,
  "sg": "P-31c",
  "energy_ry_per_atom": -0.509
}